Entry 1:
{"formula": "RbMg6BiO8", "functional": "PBE", "state": "relaxed", "cell": [[-0.183, -1.484, 4.446], [-2.096, -3.954, -1.406], [8.118, -3.952, -0.986]], "species": ["O", "O", "O", "O", "O", "O", "O", "O", "Rb", "Mg", "Mg", "Mg", "Mg", "Mg", "Mg", "Bi"], "frac_coords": [[0.500, 0.500, 0.730], [0.000, 0.500, 0.000], [0.000, 0.000, 0.715], [0.000, 0.000, 0.285], [0.500, 0.000, 0.500], [0.500, 0.500, 0.270], [0.500, 0.000, 0.000], [0.000, 0.500, 0.500], [0.000, 0.000, 0.000], [0.000, 0.500, 0.725], [0.000, 0.500, 0.275], [0.500, 0.000, 0.275], [0.500, 0.000, 0.725], [0.000, 0.000, 0.500], [0.500, 0.500, 0.500], [0.500, 0.500, 0.000]], "vol_a3_per_cell": 200, "sg": "P4/mmm, No. 123", "final_energy_ev_per_fu": -85.28, "formation_energy_uncorrected_kj_per_mol_fu": -3010, "polymorph_energy_mev_per_atom": 0}


Entry 2:
{"formula": "LuPuRu", "functional": "PBE", "state": "relaxed", "cell": [[3.320, 0.000, 0.000], [0.000, 4.714, 0.000], [0.000, -2.357, 4.083]], "species": ["Ru", "Pu", "Lu"], "frac_coords": [[0.167, 0.000, 0.000], [0.167, 0.333, 0.667], [0.667, 0.667, 0.333]], "vol_a3_per_cell": 64, "sg": "P-6m2, No. 187", "final_energy_ev_per_fu": -28.31, "dos_at_fermi_per_ev_atom": 2.418, "delta_e_f_ev_per_atom": -0.06, "polymorph_energy_mev_per_atom": 147}


Entry 3:
{"formula": "SrHgSb", "functional": "PBE", "state": "relaxed", "cell": [[4.681, 0.000, 0.000], [0.000, 8.711, -0.048], [0.000, -0.076, 13.938]], "species": ["Sr", "Sr", "Sr", "Sr", "Sr", "Sr", "Sb", "Sb", "Sb", "Sb", "Sb", "Sb", "Hg", "Hg", "Hg", "Hg", "Hg", "Hg"], "frac_coords": [[0.250, 0.314, 0.926], [0.750, 0.068, 0.294], [0.750, 0.686, 0.074], [0.250, 0.932, 0.706], [0.750, 0.567, 0.371], [0.250, 0.433, 0.629], [0.250, 0.788, 0.249], [0.750, 0.302, 0.106], [0.750, 0.712, 0.596], [0.250, 0.698, 0.894], [0.250, 0.288, 0.404], [0.750, 0.212, 0.751], [0.750, 0.121, 0.534], [0.750, 0.984, 0.922], [0.250, 0.016, 0.078], [0.750, 0.576, 0.791], [0.250, 0.879, 0.466], [0.250, 0.424, 0.209]], "vol_a3_per_cell": 568, "sg": "P2_1/m, No. 11", "final_energy_ev_per_fu": -8.06, "formation_energy_uncorrected_kj_per_mol_fu": -189, "dos_at_fermi_per_ev_atom": 0.291, "polymorph_energy_mev_per_atom": 0}


Entry 4:
{"formula": "La3CuI", "functional": "PBE", "state": "relaxed", "cell": [[-0.798, 5.214, -2.072], [-0.111, -2.107, -5.260], [-5.610, -0.700, 0.399]], "species": ["I", "Cu", "La", "La", "La"], "frac_coords": [[0.500, 0.500, 0.500], [0.000, 0.000, 0.000], [0.000, 0.500, 0.000], [0.500, 0.000, 0.000], [0.000, 0.000, 0.500]], "vol_a3_per_cell": 182, "sg": "Pm-3m, No. 221", "final_energy_ev_per_fu": -20.79, "formation_energy_uncorrected_kj_per_mol_fu": -35, "dos_at_fermi_per_ev_atom": 1.815, "polymorph_energy_mev_per_atom": 0}


Entry 5:
{"formula": "LiCdAg2F6", "functional": "PBE", "state": "relaxed", "cell": [[5.496, 0.000, 0.028], [0.000, 5.936, 0.000], [0.088, 0.000, 8.398]], "species": ["Li", "Li", "Cd", "Cd", "Ag", "Ag", "Ag", "Ag", "F", "F", "F", "F", "F", "F", "F", "F", "F", "F", "F", "F"], "frac_coords": [[0.000, 0.500, 0.500], [0.500, 0.000, 0.000], [0.500, 0.000, 0.500], [0.000, 0.500, 0.000], [0.974, 0.077, 0.771], [0.526, 0.577, 0.729], [0.474, 0.423, 0.271], [0.026, 0.923, 0.229], [0.210, 0.194, 0.071], [0.849, 0.578, 0.257], [0.290, 0.694, 0.429], [0.349, 0.922, 0.757], [0.687, 0.282, 0.921], [0.651, 0.078, 0.243], [0.710, 0.306, 0.571], [0.790, 0.806, 0.929], [0.187, 0.218, 0.421], [0.313, 0.718, 0.079], [0.151, 0.422, 0.743], [0.813, 0.782, 0.579]], "vol_a3_per_cell": 274, "sg": "P2_1/c, No. 14", "final_energy_ev_per_fu": -37.23, "formation_energy_uncorrected_kj_per_mol_fu": -1686, "dos_at_fermi_per_ev_atom": 0.331}


Entry 6:
{"formula": "SrPuTl4", "functional": "PBE", "state": "relaxed", "cell": [[-4.463, 4.466, 1.024], [-4.916, -1.227, 3.904], [-0.371, 2.906, 5.686]], "species": ["Tl", "Tl", "Tl", "Tl", "Sr", "Pu"], "frac_coords": [[0.625, 0.625, 0.625], [0.124, 0.625, 0.625], [0.625, 0.625, 0.124], [0.625, 0.124, 0.625], [0.250, 0.250, 0.250], [0.000, 0.000, 0.000]], "vol_a3_per_cell": 185, "sg": "F-43m, No. 216", "final_energy_ev_per_fu": -25.64, "dos_at_fermi_per_ev_atom": 3.050, "delta_e_f_ev_per_atom": -0.03, "polymorph_energy_mev_per_atom": 91}